[1]
The following is a PBE calculation of a relaxed structure of Tb2Pu3PaSe6, from Alexandria.

POSCAR file:
```
Tb2Pu3PaSe6
1.0
4.0857 0.0000 0.0000
0.0000 8.2397 0.3712
-2.0429 -2.2896 8.6371
Tb Se Pu Pa
2 6 3 1
direct
0.1659 0.3379 0.3318 Tb
0.8341 0.6621 0.6682 Tb
0.6675 0.0896 0.3350 Se
0.6684 0.5855 0.3368 Se
0.9985 0.7486 0.9971 Se
0.3325 0.9104 0.6650 Se
0.3316 0.4145 0.6632 Se
0.0015 0.2514 0.0029 Se
0.1650 0.8384 0.3300 Pu
0.8350 0.1616 0.6700 Pu
0.5000 0.5000 0.0000 Pu
0.5000 0.0000 0.0000 Pa
```

Summary:
Raw total energy in eV/atom: -8.457
Space-group type: C2/m, No. 12
Formation energy without anion corrections in eV/f.u.: -18.8
Theoretical density in Mg/m³: 9.90

[2]
The following is a PBE calculation of a relaxed structure of Sm6YHo4, from Alexandria.

POSCAR file:
```
Sm6YHo4
1.0
7.5222 0.0000 0.0000
0.0000 7.5222 0.0000
-3.7611 -3.7611 6.7669
Y Sm Ho
1 6 4
direct
0.5000 0.5000 0.0000 Y
0.0000 0.5000 0.0000 Sm
0.0818 0.0818 0.6240 Sm
0.9182 0.4578 0.3760 Sm
0.5422 0.5422 0.6240 Sm
0.5000 0.0000 0.0000 Sm
0.4578 0.9182 0.3760 Sm
0.0841 0.7561 0.8402 Ho
0.7561 0.0841 0.8402 Ho
0.9159 0.9159 0.1598 Ho
0.2439 0.2439 0.1598 Ho
```

Summary:
Raw total energy in eV/atom: -4.443
Space-group type: I-42m, No. 121
Energy of formation in eV per atom: 0.383
Theoretical density in Mg/m³: 7.16

Copy entry 2 word for word.
The following is a PBE calculation of a relaxed structure of Sm6YHo4, from Alexandria.

POSCAR file:
```
Sm6YHo4
1.0
7.5222 0.0000 0.0000
0.0000 7.5222 0.0000
-3.7611 -3.7611 6.7669
Y Sm Ho
1 6 4
direct
0.5000 0.5000 0.0000 Y
0.0000 0.5000 0.0000 Sm
0.0818 0.0818 0.6240 Sm
0.9182 0.4578 0.3760 Sm
0.5422 0.5422 0.6240 Sm
0.5000 0.0000 0.0000 Sm
0.4578 0.9182 0.3760 Sm
0.0841 0.7561 0.8402 Ho
0.7561 0.0841 0.8402 Ho
0.9159 0.9159 0.1598 Ho
0.2439 0.2439 0.1598 Ho
```

Summary:
Raw total energy in eV/atom: -4.443
Space-group type: I-42m, No. 121
Energy of formation in eV per atom: 0.383
Theoretical density in Mg/m³: 7.16